DFT (PBE) results for Fe2CoAg after structural relaxation.

Cell: 4.5629 4.5629 4.5629 Å, 131.28 131.28 71.38°
Site moments in Bohr magnetons follow the coordinates.
Fractional coordinates of all 4 atoms:
Ag1 0.5000 0.5000 0.0000  0.04
Co1 0.7500 0.2500 0.5000  1.65
Fe1 0.0000 0.0000 0.0000  2.65
Fe2 0.2500 0.7500 0.5000  2.77

Raw total energy in eV/atom: -6.385
Space-group type: I-4m2
Crystal system: tetragonal
DOS(E_F) in states/eV/f.u.: 4.12

=====

DFT (PBE) results for HfTe2S after structural relaxation.

Cell: 6.6945 6.6945 7.8121 Å, 64.63 64.63 90.00°
Fractional coordinates of all 8 atoms:
S1 0.5000 0.5000 0.0000
S2 0.2500 0.7500 0.5000
Te1 0.6442 0.1250 0.2500
Te2 0.1058 0.6250 0.2500
Te3 0.3750 0.3558 0.7500
Te4 0.8750 0.8942 0.7500
Hf1 0.0000 0.0000 0.0000
Hf2 0.7500 0.2500 0.5000

Raw total energy in eV/atom: -4.900
Space-group type: I-42d
Crystal system: tetragonal
DOS(E_F) in states/eV/f.u.: 2.69

=====

DFT (PBE) results for Rb2Tl2Cd after structural relaxation.

Cell: 6.9781 7.9207 9.7114 Å, 114.07 111.06 90.00°
Fractional coordinates of all 10 atoms:
Rb1 0.1346 0.9810 0.2692
Rb2 0.8654 0.0190 0.7308
Rb3 0.3654 0.7118 0.7308
Rb4 0.6346 0.2882 0.2692
Tl1 0.6371 0.7769 0.2741
Tl2 0.3629 0.2231 0.7259
Tl3 0.8629 0.5028 0.7259
Tl4 0.1371 0.4972 0.2741
Cd1 0.2500 0.5000 0.0000
Cd2 0.7500 0.5000 0.0000

Raw total energy in eV/atom: -1.506
Space-group type: Ibam
Crystal system: orthorhombic
DOS(E_F) in states/eV/f.u.: 4.76

=====

DFT (PBE) results for SrInGe after structural relaxation.

Cell: 4.7841 4.2189 8.6847 Å, 90.00 98.79 90.00°
Fractional coordinates of all 6 atoms:
Sr1 0.9440 0.2500 0.3061
Sr2 0.0560 0.7500 0.6939
In1 0.6795 0.2500 0.9245
In2 0.3205 0.7500 0.0755
Ge1 0.5194 0.2500 0.5904
Ge2 0.4806 0.7500 0.4096

Raw total energy in eV/atom: -3.427
Space-group type: P2_1/m
Crystal system: monoclinic
DOS(E_F) in states/eV/f.u.: 1.52

=====

DFT (PBE) results for CaC2SeF after structural relaxation.

Cell: 3.8120 5.7703 3.8120 Å, 90.00 90.00 90.00°
Fractional coordinates of all 5 atoms:
Ca1 0.0000 0.5000 0.0000
C1 0.0000 0.0000 0.5000
C2 0.5000 0.0000 0.0000
Se1 0.0000 0.0000 0.0000
F1 0.5000 0.5000 0.5000

Raw total energy in eV/atom: -4.382
Space-group type: P4/mmm
Crystal system: tetragonal
DOS(E_F) in states/eV/f.u.: 2.23

=====

DFT (PBE) results for YBRh after structural relaxation.

Cell: 5.7207 5.7207 6.2633 Å, 90.00 90.00 90.00°
Fractional coordinates of all 12 atoms:
B1 0.4190 0.4190 0.0000
B2 0.5810 0.5810 0.5000
B3 0.0810 0.9190 0.2500
B4 0.9190 0.0810 0.7500
Rh1 0.6591 0.3409 0.7500
Rh2 0.8409 0.8409 0.5000
Rh3 0.1591 0.1591 0.0000
Rh4 0.3409 0.6591 0.2500
Y1 0.7541 0.2459 0.2500
Y2 0.7459 0.7459 0.0000
Y3 0.2541 0.2541 0.5000
Y4 0.2459 0.7541 0.7500

Raw total energy in eV/atom: -7.191
Space-group type: P4_12_12
Crystal system: tetragonal
DOS(E_F) in states/eV/f.u.: 2.39

=====

DFT (PBE) results for ScPaCu after structural relaxation.

Cell: 3.1163 3.1163 6.6850 Å, 103.48 103.48 90.00°
Fractional coordinates of all 3 atoms:
Sc1 0.3131 0.3131 0.6261
Pa1 0.0118 0.0118 0.0236
Cu1 0.6751 0.6751 0.3503

Raw total energy in eV/atom: -6.626
Space-group type: I4mm
Crystal system: tetragonal
DOS(E_F) in states/eV/f.u.: 4.24

=====

DFT (PBE) results for Ce3TeS3 after structural relaxation.

Cell: 8.1501 8.1501 8.7799 Å, 62.35 62.35 60.00°
Site moments in Bohr magnetons follow the coordinates.
Fractional coordinates of all 14 atoms:
Ce1 0.2781 0.5236 0.2847  1.08
Ce2 0.9136 0.2781 0.2847  1.08
Ce3 0.5236 0.9136 0.2847  1.08
Ce4 0.4764 0.0864 0.7153  1.08
Ce5 0.0864 0.7219 0.7153  1.08
Ce6 0.7219 0.4764 0.7153  1.08
Te1 0.3342 0.3342 0.9973  -0.03
Te2 0.6658 0.6658 0.0027  -0.03
S1 0.3887 0.8264 0.6617  -0.03
S2 0.8264 0.1231 0.6617  -0.03
S3 0.1231 0.3887 0.6617  -0.03
S4 0.8769 0.6113 0.3383  -0.03
S5 0.1736 0.8769 0.3383  -0.03
S6 0.6113 0.1736 0.3383  -0.03

Raw total energy in eV/atom: -6.493
Space-group type: R-3
Crystal system: trigonal
DOS(E_F) in states/eV/f.u.: 20.63

=====

DFT (PBE) results for MnFe2I after structural relaxation.

Cell: 5.3854 5.3854 6.5023 Å, 65.54 65.54 90.00°
Site moments in Bohr magnetons follow the coordinates.
Fractional coordinates of all 8 atoms:
I1 0.0000 0.0000 0.0000  0.01
I2 0.7500 0.2500 0.5000  0.01
Mn1 0.5000 0.5000 0.0000  -1.16
Mn2 0.2500 0.7500 0.5000  -1.16
Fe1 0.5666 0.1250 0.2500  1.10
Fe2 0.1834 0.6250 0.2500  1.11
Fe3 0.3750 0.4334 0.7500  1.20
Fe4 0.8750 0.8166 0.7500  1.10

Raw total energy in eV/atom: -5.797
Space-group type: I-42d
Crystal system: tetragonal
DOS(E_F) in states/eV/f.u.: 6.03

=====

DFT (PBE) results for Y7Ho3 after structural relaxation.

Cell: 6.4426 10.7998 10.7998 Å, 120.00 90.00 90.00°
Fractional coordinates of all 20 atoms:
Y1 0.0197 0.6667 0.3333
Y2 0.5197 0.3333 0.6667
Y3 0.8861 0.8796 0.7592
Y4 0.8861 0.8796 0.1204
Y5 0.8861 0.2408 0.1204
Y6 0.3861 0.1204 0.2408
Y7 0.3861 0.1204 0.8796
Y8 0.3861 0.7592 0.8796
Y9 0.2097 0.4704 0.9408
Y10 0.2097 0.4704 0.5296
Y11 0.2097 0.0592 0.5296
Y12 0.7097 0.5296 0.0592
Y13 0.7097 0.5296 0.4704
Y14 0.7097 0.9408 0.4704
Ho1 0.8670 0.2057 0.4114
Ho2 0.8670 0.2057 0.7943
Ho3 0.8670 0.5886 0.7943
Ho4 0.3670 0.7943 0.5886
Ho5 0.3670 0.7943 0.2057
Ho6 0.3670 0.4114 0.2057

Raw total energy in eV/atom: -5.712
Space-group type: P6_3mc
Crystal system: hexagonal
DOS(E_F) in states/eV/f.u.: 20.39

=====

DFT (PBE) results for MnIn3Fe after structural relaxation.

Cell: 5.0097 5.0097 5.0097 Å, 90.00 90.00 90.00°
Site moments in Bohr magnetons follow the coordinates.
Fractional coordinates of all 5 atoms:
Mn1 0.0000 0.0000 0.0000  2.27
Fe1 0.5000 0.5000 0.5000  3.22
In1 0.0000 0.5000 0.0000  -0.07
In2 0.0000 0.0000 0.5000  -0.01
In3 0.5000 0.0000 0.0000  -0.09

Raw total energy in eV/atom: -4.352
Space-group type: Pm-3m
Crystal system: cubic
DOS(E_F) in states/eV/f.u.: 7.15

=====

DFT (PBE) results for LaAlZnGa2 after structural relaxation.

Cell: 4.3171 4.3171 6.2242 Å, 110.29 110.29 90.00°
Fractional coordinates of all 5 atoms:
La1 0.0000 0.0000 0.0000
Al1 0.7500 0.2500 0.5000
Zn1 0.2500 0.7500 0.5000
Ga1 0.6157 0.6157 0.2313
Ga2 0.3843 0.3843 0.7687

Raw total energy in eV/atom: -3.710
Space-group type: I-4m2
Crystal system: tetragonal
DOS(E_F) in states/eV/f.u.: 1.77

=====

DFT (PBE) results for RbMnGa2Ge after structural relaxation.

Cell: 4.8192 4.8192 4.6445 Å, 90.00 90.00 90.00°
Fractional coordinates of all 5 atoms:
Ge1 0.0000 0.0000 0.5000
Mn1 0.0000 0.0000 0.0000
Ga1 0.0000 0.5000 0.0000
Ga2 0.5000 0.0000 0.0000
Rb1 0.5000 0.5000 0.5000

Raw total energy in eV/atom: -4.234
Space-group type: P4/mmm
Crystal system: tetragonal
DOS(E_F) in states/eV/f.u.: 0.45

=====

DFT (PBE) results for Nb3Re4W after structural relaxation.

Cell: 3.1884 3.1884 12.7824 Å, 90.00 90.00 90.00°
Fractional coordinates of all 8 atoms:
Re1 0.0000 0.0000 0.8786
Re2 0.0000 0.0000 0.1214
Re3 0.0000 0.0000 0.3738
Re4 0.0000 0.0000 0.6262
Nb1 0.5000 0.5000 0.2496
Nb2 0.5000 0.5000 0.5000
Nb3 0.5000 0.5000 0.7504
W1 0.5000 0.5000 0.0000

Raw total energy in eV/atom: -11.806
Space-group type: P4/mmm
Crystal system: tetragonal
DOS(E_F) in states/eV/f.u.: 3.88

=====

DFT (PBE) results for PrSnGe4 after structural relaxation.

Cell: 5.7145 5.7145 5.7145 Å, 60.00 60.00 60.00°
Fractional coordinates of all 6 atoms:
Pr1 0.0000 0.0000 0.0000
Ge1 0.6237 0.6237 0.1288
Ge2 0.6237 0.1288 0.6237
Ge3 0.6237 0.6237 0.6237
Ge4 0.1288 0.6237 0.6237
Sn1 0.2500 0.2500 0.2500

Raw total energy in eV/atom: -4.721
Space-group type: F-43m
Crystal system: cubic
DOS(E_F) in states/eV/f.u.: 2.67

=====

DFT (PBE) results for NaLi2YI6 after structural relaxation.

Cell: 7.6763 7.6759 8.3392 Å, 62.60 62.61 60.01°
Fractional coordinates of all 10 atoms:
Na1 0.8176 0.8176 0.5471
Li1 0.5092 0.5091 0.4726
Li2 0.0055 0.0055 0.9835
Y1 0.3259 0.3259 0.0223
I1 0.5947 0.2458 0.2442
I2 0.2458 0.9153 0.2442
I3 0.9154 0.5948 0.2441
I4 0.3873 0.7398 0.7524
I5 0.7397 0.1205 0.7525
I6 0.1205 0.3873 0.7524

Raw total energy in eV/atom: -3.361
Space-group type: R3
Crystal system: trigonal
DOS(E_F) in states/eV/f.u.: 0.00